Below is an optimized crystal structure of Li5TbTl6, with properties calculated at the PBE level. Values from VASP.

Properties
total DFT energy (no corrections): -2.6130 eV per atom
density: 8.78 g/cm3
calculated formation energy: -247 meV/atom

```
&SYSTEM
  ibrav = 0, nat = 12, ntyp = 3
/
ATOMIC_SPECIES
Tl 204.38 Tl.upf
Tb 158.93 Tb.upf
Li 6.94 Li.upf
ATOMIC_POSITIONS angstrom
Tl 3.8738 5.4559 3.9776
Tl 3.8551 1.8694 3.9714
Tl 2.3361 2.0287 0.7785
Tl 2.3535 5.3234 0.7843
Tl 0.8118 5.4693 5.4126
Tl 0.7931 1.8828 5.4063
Tb 0.0000 0.0000 0.0000
Li 3.1270 3.6626 6.1875
Li 1.5313 -0.0134 3.1581
Li 0.0193 3.6895 0.0064
Li 3.0970 -0.0268 6.2130
Li 1.5400 3.6760 3.1965
CELL_PARAMETERS angstrom
4.6510 -0.0268 1.5500
0.0386 7.3789 0.0129
-0.0227 -0.0134 7.8211
```

=====

Below is an optimized crystal structure of Sc2AgCl, with properties calculated at the PBE level. Values from VASP.

Properties
formation energy from raw total energies: -0.49 eV per atom
offset from the most stable computed form: 0.173 eV/atom
total DFT energy (no corrections): -4.8335 eV per atom
density: 3.48 g/cm3

```
&SYSTEM
  ibrav = 0, nat = 4, ntyp = 3
/
ATOMIC_SPECIES
Sc 44.96 Sc.upf
Ag 107.87 Ag.upf
Cl 35.45 Cl.upf
ATOMIC_POSITIONS angstrom
Sc -8.8934 -18.3585 5.5113
Sc -1.0443 -2.1558 0.6472
Ag -4.9688 -10.2572 3.0792
Cl 0.0000 0.0000 0.0000
CELL_PARAMETERS angstrom
-5.2226 -5.7008 2.7591
-3.1458 -7.5808 -0.1520
-1.5692 -7.2327 3.5514
```